PuNiOs | PBE | optimized geometry

Results
- ΔH_f (0 K): 0.23 eV per formula unit
- D(E_F): 8.304 states/eV/f.u.
- Size of the total moment: 4.04 μB/cell

Unit cell a=4.1145 b=4.1145 c=3.7460 alpha=90.00 beta=90.00 gamma=120.00
Fractional coordinates of all 3 atoms:
1 Pu 0.0000 0.0000 0.0000
2 Ni 0.3333 0.6667 0.5000
3 Os 0.6667 0.3333 0.5000